Computed, not measured: an optimized crystal structure of LiMnF5 at the GGA-PBEsol level of DFT.

abc: 5.4567 5.6022 6.9917
angles: 104.68 102.95 106.82
Last column: nearest neighbours and their distance in Å.
Element x y z (fractional)
Li1 0.1905 0.3293 0.2294  4 F 1.86-1.88
Li2 0.8095 0.6707 0.7706  4 F 1.86-1.88
Mn1 0.5000 0.0000 0.0000  6 F 1.79-1.87
Mn2 0.5000 0.0000 0.5000  6 F 1.78-1.88
F1 0.1544 0.8260 0.9691  1 Mn 1.79, 1 Li 1.87
F2 0.2428 0.6768 0.3742  1 Mn 1.79, 1 Li 1.86
F3 0.2646 0.1433 0.4098  1 Mn 1.78, 1 Li 1.88
F4 0.3874 0.0307 0.7369  2 Mn 1.87-1.88
F5 0.4655 0.3072 0.1141  1 Mn 1.79, 1 Li 1.88
F6 0.5345 0.6928 0.8859  1 Mn 1.79, 1 Li 1.88
F7 0.6126 0.9693 0.2631  2 Mn 1.87-1.88
F8 0.7354 0.8567 0.5902  1 Mn 1.78, 1 Li 1.88
F9 0.7572 0.3232 0.6258  1 Mn 1.79, 1 Li 1.86
F10 0.8456 0.1740 0.0309  1 Mn 1.79, 1 Li 1.87

## Properties
- crystal system = triclinic
- ρ (Mg/m³) = 2.8
- formation energy from raw total energies (eV/f.u.) = -17.5
- E_tot (eV/atom) = -5.55

Computed, not measured: an optimized crystal structure of LiMnF4 at the GGA-PBEsol level of DFT.

abc: 9.9568 9.9568 9.9568
angles: 94.98 94.98 145.72
Last column: nearest neighbours and their distance in Å.
Element x y z (fractional)
Li1 0.1273 0.8779 0.0014  6 F 2.01-2.09
Li2 0.3741 0.3727 0.2506  6 F 2.01-2.09
Li3 0.3765 0.1259 0.4986  6 F 2.01-2.09
Li4 0.3779 0.8765 0.7506  6 F 2.01-2.09
Li5 0.6221 0.1235 0.2494  6 F 2.01-2.09
Li6 0.6235 0.8741 0.5014  6 F 2.01-2.09
Li7 0.6259 0.6273 0.7494  6 F 2.01-2.09
Li8 0.8727 0.1221 0.9986  6 F 2.01-2.09
Mn1 0.1167 0.1167 0.7524  4 F 1.84-1.87
Mn2 0.1357 0.3833 0.5000  4 F 1.84-1.87
Mn3 0.1357 0.6357 0.2524  4 F 1.84-1.87
Mn4 0.3833 0.6357 0.0000  4 F 1.84-1.87
Mn5 0.6167 0.3643 0.0000  4 F 1.84-1.87
Mn6 0.8643 0.3643 0.7476  4 F 1.84-1.87
Mn7 0.8643 0.6167 0.5000  4 F 1.84-1.87
Mn8 0.8833 0.8833 0.2476  4 F 1.84-1.87
F1 0.0093 0.6067 0.6593  1 Mn 1.87, 1 Li 2.05
F2 0.0165 0.1068 0.1502  1 Mn 1.84, 1 Li 2.01
F3 0.1044 0.7581 0.4109  1 Mn 1.87, 1 Li 2.04
F4 0.1067 0.9473 0.5974  1 Mn 1.87, 1 Li 2.05
F5 0.1501 0.4907 0.0974  1 Mn 1.87, 1 Li 2.05
F6 0.1528 0.3065 0.9109  1 Mn 1.87, 1 Li 2.04
F7 0.1935 0.6044 0.8463  1 Mn 1.87, 1 Li 2.04
F8 0.2022 0.1029 0.3400  1 Mn 1.84, 1 Li 2.01
F9 0.2581 0.3472 0.6537  1 Mn 1.87, 1 Li 2.04
F10 0.2629 0.8622 0.1600  1 Mn 1.84, 1 Li 2.01
F11 0.3622 0.7022 0.5993  1 Mn 1.84, 1 Li 2.01
F12 0.3663 0.5165 0.4097  1 Mn 1.84, 1 Li 2.01
F13 0.3932 0.0434 0.9097  1 Mn 1.84, 1 Li 2.01
F14 0.3971 0.2371 0.0993  1 Mn 1.84, 1 Li 2.01
F15 0.4473 0.3499 0.8407  1 Mn 1.87, 1 Li 2.05
F16 0.4566 0.8663 0.3498  1 Mn 1.84, 1 Li 2.01
F17 0.5434 0.1337 0.6502  1 Mn 1.84, 1 Li 2.01
F18 0.5527 0.6501 0.1593  1 Mn 1.87, 1 Li 2.05
F19 0.6029 0.7629 0.9007  1 Mn 1.84, 1 Li 2.01
F20 0.6068 0.9566 0.0903  1 Mn 1.84, 1 Li 2.01
F21 0.6337 0.4835 0.5903  1 Mn 1.84, 1 Li 2.01
F22 0.6378 0.2978 0.4007  1 Mn 1.84, 1 Li 2.01
F23 0.7371 0.1378 0.8400  1 Mn 1.84, 1 Li 2.01
F24 0.7419 0.6528 0.3463  1 Mn 1.87, 1 Li 2.04
F25 0.7978 0.8971 0.6600  1 Mn 1.84, 1 Li 2.01
F26 0.8065 0.3956 0.1537  1 Mn 1.87, 1 Li 2.04
F27 0.8472 0.6935 0.0891  1 Mn 1.87, 1 Li 2.04
F28 0.8499 0.5093 0.9026  1 Mn 1.87, 1 Li 2.05
F29 0.8933 0.0527 0.4026  1 Mn 1.87, 1 Li 2.05
F30 0.8956 0.2419 0.5891  1 Mn 1.87, 1 Li 2.04
F31 0.9835 0.8932 0.8498  1 Mn 1.84, 1 Li 2.01
F32 0.9907 0.3933 0.3407  1 Mn 1.87, 1 Li 2.05

## Properties
- crystal system = tetragonal
- ρ (Mg/m³) = 3.4
- formation energy from raw total energies (eV/f.u.) = -15.6
- E_tot (eV/atom) = -5.84

Computed, not measured: an optimized crystal structure of LiMnF4 at the GGA-PBEsol level of DFT.

abc: 4.5282 4.5282 3.1180
angles: 90.00 90.00 92.68
Last column: nearest neighbours and their distance in Å.
Element x y z (fractional)
Li1 0.0000 0.0000 0.0000  6 F 2.00-2.04
Mn1 0.5000 0.5000 0.5000  6 F 1.81-2.01
F1 0.2102 0.2102 0.5000  1 Mn 1.81
F2 0.3059 0.6941 0.0000  1 Li 2.00, 2 Mn 2.01
F3 0.6941 0.3059 0.0000  1 Li 2.00, 2 Mn 2.01
F4 0.7898 0.7898 0.5000  1 Mn 1.81

## Properties
- crystal system = orthorhombic
- ρ (Mg/m³) = 3.6
- formation energy from raw total energies (eV/f.u.) = -15.5
- E_tot (eV/atom) = -5.82

Computed, not measured: an optimized crystal structure of Li2MnF4 at the GGA-PBEsol level of DFT.

abc: 9.1587 2.9118 10.0986
angles: 90.00 90.00 90.00
Last column: nearest neighbours and their distance in Å.
Element x y z (fractional)
Li1 0.0581 0.2500 0.1194  6 F 1.91-2.12
Li2 0.0820 0.2500 0.6071  3 F 1.88-1.99
Li3 0.4180 0.7500 0.1071  3 F 1.88-1.99
Li4 0.4419 0.7500 0.6194  6 F 1.91-2.12
Li5 0.5581 0.2500 0.3806  6 F 1.91-2.12
Li6 0.5820 0.2500 0.8929  3 F 1.88-1.99
Li7 0.9180 0.7500 0.3929  3 F 1.88-1.99
Li8 0.9419 0.7500 0.8806  6 F 1.91-2.12
Mn1 0.2481 0.7500 0.8441  7 F 2.15-2.19
Mn2 0.2519 0.2500 0.3441  7 F 2.15-2.19
Mn3 0.7481 0.7500 0.6559  7 F 2.15-2.19
Mn4 0.7519 0.2500 0.1559  7 F 2.15-2.19
F1 0.0552 0.7500 0.7220  3 Li 1.88-1.91
F2 0.1002 0.2500 0.9343  3 Li 1.91-2.12
F3 0.1238 0.7500 0.4557  3 Li 1.99-2.15, 2 Mn 2.18
F4 0.1961 0.7500 0.1895  3 Li 2.05-2.20, 2 Mn 2.19
F5 0.3039 0.2500 0.6895  3 Li 2.05-2.20, 2 Mn 2.19
F6 0.3762 0.2500 0.9557  3 Li 1.99-2.15, 2 Mn 2.18
F7 0.3998 0.7500 0.4343  3 Li 1.91-2.12
F8 0.4448 0.2500 0.2220  3 Li 1.88-1.91
F9 0.5552 0.7500 0.7780  3 Li 1.88-1.91
F10 0.6002 0.2500 0.5657  3 Li 1.91-2.12
F11 0.6238 0.7500 0.0443  3 Li 1.99-2.15, 2 Mn 2.18
F12 0.6961 0.7500 0.3105  3 Li 2.05-2.20, 2 Mn 2.19
F13 0.8039 0.2500 0.8105  3 Li 2.05-2.20, 2 Mn 2.19
F14 0.8762 0.2500 0.5443  3 Li 1.99-2.15, 2 Mn 2.18
F15 0.8998 0.7500 0.0657  3 Li 1.91-2.12
F16 0.9448 0.2500 0.2780  3 Li 1.88-1.91

## Properties
- crystal system = orthorhombic
- ρ (Mg/m³) = 3.6
- formation energy from raw total energies (eV/f.u.) = -18.3
- E_tot (eV/atom) = -5.67

Computed, not measured: an optimized crystal structure of Li2MnF6 at the GGA-PBEsol level of DFT.

abc: 4.8187 4.8187 4.3294
angles: 90.00 90.00 120.00
Last column: nearest neighbours and their distance in Å.
Element x y z (fractional)
Li1 0.3333 0.6667 0.0000  6 F 2.01
Li2 0.6667 0.3333 0.0000  6 F 2.01
Mn1 0.0000 0.0000 0.5000  6 F 1.82
F1 0.0000 0.3090 0.7411  1 Mn 1.82, 2 Li 2.01
F2 0.0000 0.6910 0.2589  1 Mn 1.82, 2 Li 2.01
F3 0.3090 0.0000 0.7411  1 Mn 1.82, 2 Li 2.01
F4 0.3090 0.3090 0.2589  1 Mn 1.82, 2 Li 2.01
F5 0.6910 0.0000 0.2589  1 Mn 1.82, 2 Li 2.01
F6 0.6910 0.6910 0.7411  1 Mn 1.82, 2 Li 2.01

## Properties
- crystal system = trigonal
- ρ (Mg/m³) = 3.5
- formation energy from raw total energies (eV/f.u.) = -23.9
- E_tot (eV/atom) = -5.46

Computed, not measured: an optimized crystal structure of Li4MnF7 at the GGA-PBEsol level of DFT.

abc: 5.8498 5.8498 5.8498
angles: 60.00 60.00 60.00
Last column: nearest neighbours and their distance in Å.
Element x y z (fractional)
Li1 0.3763 0.3763 0.3763  4 F 1.77-1.87
Li2 0.3763 0.3763 0.8710  4 F 1.77-1.87
Li3 0.3763 0.8710 0.3763  4 F 1.77-1.87
Li4 0.8710 0.3763 0.3763  4 F 1.77-1.87
Mn1 0.7500 0.7500 0.7500  6 F 1.95
F1 0.5000 0.5000 0.5000  4 Li 1.77
F2 0.5145 0.5145 0.9855  2 Li 1.87, 1 Mn 1.95
F3 0.5145 0.9855 0.5145  2 Li 1.87, 1 Mn 1.95
F4 0.5145 0.9855 0.9855  2 Li 1.87, 1 Mn 1.95
F5 0.9855 0.5145 0.5145  2 Li 1.87, 1 Mn 1.95
F6 0.9855 0.5145 0.9855  2 Li 1.87, 1 Mn 1.95
F7 0.9855 0.9855 0.5145  2 Li 1.87, 1 Mn 1.95

## Properties
- crystal system = cubic
- ρ (Mg/m³) = 2.5
- formation energy from raw total energies (eV/f.u.) = -32.9
- E_tot (eV/atom) = -5.34

Computed, not measured: an optimized crystal structure of Li2MnF6 at the GGA-PBEsol level of DFT.

abc: 4.9139 4.9139 8.8026
angles: 90.00 90.00 120.00
Last column: nearest neighbours and their distance in Å.
Element x y z (fractional)
Li1 0.0000 0.0000 0.0000  6 F 2.08
Li2 0.0000 0.0000 0.5000  6 F 2.08
Li3 0.3333 0.6667 0.2500  6 F 1.99
Li4 0.6667 0.3333 0.7500  6 F 1.99
Mn1 0.3333 0.6667 0.7500  6 F 1.82
Mn2 0.6667 0.3333 0.2500  6 F 1.82
F1 0.0269 0.3626 0.8661  1 Mn 1.82, 1 Li 1.99
F2 0.0269 0.6643 0.6339  1 Mn 1.82, 1 Li 1.99
F3 0.3357 0.3626 0.6339  1 Mn 1.82, 1 Li 1.99
F4 0.3357 0.9731 0.8661  1 Mn 1.82, 1 Li 1.99
F5 0.3626 0.0269 0.3661  1 Mn 1.82, 1 Li 1.99
F6 0.3626 0.3357 0.1339  1 Mn 1.82, 1 Li 1.99
F7 0.6374 0.6643 0.8661  1 Mn 1.82, 1 Li 1.99
F8 0.6374 0.9731 0.6339  1 Mn 1.82, 1 Li 1.99
F9 0.6643 0.0269 0.1339  1 Mn 1.82, 1 Li 1.99
F10 0.6643 0.6374 0.3661  1 Mn 1.82, 1 Li 1.99
F11 0.9731 0.3357 0.3661  1 Mn 1.82, 1 Li 1.99
F12 0.9731 0.6374 0.1339  1 Mn 1.82, 1 Li 1.99

## Properties
- crystal system = trigonal
- ρ (Mg/m³) = 3.3
- formation energy from raw total energies (eV/f.u.) = -23.9
- E_tot (eV/atom) = -5.47

Computed, not measured: an optimized crystal structure of Li2MnF6 at the GGA-PBEsol level of DFT.

abc: 5.2724 5.2724 5.2724
angles: 109.13 109.13 110.15
Last column: nearest neighbours and their distance in Å.
Element x y z (fractional)
Li1 0.2500 0.7500 0.5000  4 F 1.94
Li2 0.7500 0.2500 0.5000  4 F 1.94
Mn1 0.0000 0.0000 0.0000  6 F 1.77-1.83
F1 0.0000 0.2996 0.2996  1 Mn 1.83, 2 Li 1.94
F2 0.0000 0.7004 0.7004  1 Mn 1.83, 2 Li 1.94
F3 0.2927 0.2927 0.0000  1 Mn 1.77
F4 0.2996 0.0000 0.2996  1 Mn 1.83, 2 Li 1.94
F5 0.7004 0.0000 0.7004  1 Mn 1.83, 2 Li 1.94
F6 0.7073 0.7073 0.0000  1 Mn 1.77

## Properties
- crystal system = tetragonal
- ρ (Mg/m³) = 2.7
- formation energy from raw total energies (eV/f.u.) = -23.5
- E_tot (eV/atom) = -5.42